1.
First-principles (PBE) data for an optimized crystal structure of PmTm2PaSe4, as listed in Alexandria via LeMat-Bulk.

Cell lengths 3.995, 7.227, 6.980 Å; angles 71.55, 90.00, 90.00 degrees
Fractional coordinates of all 8 atoms:
1 Se 0.000 0.765 0.742
2 Tm 0.500 0.000 0.500
3 Pa 0.000 0.500 0.500
4 Se 0.500 0.762 0.249
5 Pm 0.500 0.500 0.000
6 Tm 0.000 0.000 0.000
7 Se 0.500 0.238 0.751
8 Se 0.000 0.235 0.258

Results
Calculated volume = 23.90 Å³ per atom
Formation energy without anion corrections = -1.58 eV/atom
E_tot = -6.2165 eV per atom
Magnetization = 0.858 μB/f.u.

---

2.
First-principles (PBE) data for an optimized crystal structure of PmY2PaSe4, as listed in Alexandria via LeMat-Bulk.

Cell lengths 4.061, 7.192, 7.097 Å; angles 71.16, 90.00, 90.00 degrees
Fractional coordinates of all 8 atoms:
1 Pm 0.500 0.500 0.000
2 Se 0.500 0.755 0.251
3 Se 0.500 0.245 0.749
4 Y 0.500 0.000 0.500
5 Pa 0.000 0.500 0.500
6 Se 0.000 0.757 0.744
7 Y 0.000 0.000 0.000
8 Se 0.000 0.243 0.256

Results
Calculated volume = 24.52 Å³ per atom
Formation energy without anion corrections = -1.62 eV/atom
E_tot = -6.7625 eV per atom
Magnetization = 0.838 μB/f.u.

---

3.
First-principles (PBE) data for an optimized crystal structure of Pm2YPaSe4, as listed in Alexandria via LeMat-Bulk.

Cell lengths 4.104, 7.197, 7.165 Å; angles 109.02, 90.00, 90.00 degrees
Fractional coordinates of all 8 atoms:
1 Se 0.500 0.754 0.759
2 Y 0.000 0.000 0.000
3 Se 0.000 0.749 0.242
4 Pm 0.000 0.500 0.500
5 Se 0.500 0.246 0.241
6 Pm 0.500 0.000 0.500
7 Se 0.000 0.251 0.758
8 Pa 0.500 0.500 0.000

Results
Calculated volume = 25.01 Å³ per atom
Formation energy without anion corrections = -1.64 eV/atom
E_tot = -6.5681 eV per atom
Magnetization = 0.650 μB/f.u.

---

4.
First-principles (PBE) data for an optimized crystal structure of PmPa2Si6, as listed in Alexandria via LeMat-Bulk.

Cell lengths 3.973, 7.056, 7.056 Å; angles 120.00, 90.00, 90.00 degrees
Fractional coordinates of all 9 atoms:
1 Si 0.500 0.664 0.664
2 Si 0.500 0.000 0.336
3 Si 0.500 0.000 0.664
4 Si 0.500 0.664 0.000
5 Pa 0.000 0.667 0.333
6 Si 0.500 0.336 0.000
7 Pa 0.000 0.333 0.667
8 Si 0.500 0.336 0.336
9 Pm 0.000 0.000 0.000

Results
Calculated volume = 19.03 Å³ per atom
Formation energy without anion corrections = -0.55 eV/atom
E_tot = -6.8003 eV per atom
Magnetization = 0.000 μB/f.u.

---

5.
First-principles (PBE) data for an optimized crystal structure of PmPaSi3, as listed in Alexandria via LeMat-Bulk.

Cell lengths 4.040, 4.152, 12.512 Å; angles 99.55, 90.00, 90.00 degrees
Fractional coordinates of all 10 atoms:
1 Si 0.750 0.621 0.242
2 Si 0.250 0.379 0.758
3 Si 0.750 0.525 0.049
4 Pa 0.750 0.205 0.409
5 Si 0.750 0.322 0.643
6 Si 0.250 0.475 0.951
7 Si 0.250 0.678 0.357
8 Pm 0.250 0.070 0.140
9 Pa 0.250 0.795 0.591
10 Pm 0.750 0.930 0.860

Results
Calculated volume = 20.69 Å³ per atom
Formation energy without anion corrections = -0.56 eV/atom
E_tot = -6.6647 eV per atom
Magnetization = 0.001 μB/f.u.

---

6.
First-principles (PBE) data for an optimized crystal structure of Pm5PaSi4, as listed in Alexandria via LeMat-Bulk.

Cell lengths 4.168, 8.187, 9.311 Å; angles 104.10, 102.93, 90.00 degrees
Fractional coordinates of all 10 atoms:
1 Pm 0.167 0.843 0.334
2 Si 0.665 0.094 0.330
3 Si 0.335 0.906 0.670
4 Pm 0.833 0.157 0.666
5 Pm 0.835 0.661 0.670
6 Si 0.000 0.244 0.000
7 Pa 0.500 0.000 0.000
8 Pm 0.165 0.339 0.330
9 Pm 0.500 0.500 0.000
10 Si 0.000 0.756 0.000

Results
Calculated volume = 29.99 Å³ per atom
Formation energy without anion corrections = -0.37 eV/atom
E_tot = -5.8689 eV per atom
Magnetization = 1.634 μB/f.u.